Here is Cs2DyZn2O4 after structural relaxation from the Alexandria database. Energies are from PBE.

Calculated values
Uncorrected energy   -4.90 eV/atom
Symmetry   C2/m

Cell and atoms, written as POSCAR:
```
Cs2DyZn2O4
1.0
3.468 0.000 0.000
-1.734 7.303 0.191
0.000 -2.364 6.779
Cs Dy Zn O
2 1 2 4
direct
0.869 0.737 0.440 Cs
0.131 0.263 0.560 Cs
0.000 0.000 0.000 Dy
0.322 0.643 0.967 Zn
0.678 0.357 0.033 Zn
0.835 0.670 0.823 O
0.165 0.330 0.177 O
0.456 0.912 0.168 O
0.544 0.088 0.832 O
```